Record 1
Crystalline MgPbW2 at its relaxed geometry, computed with PBE.

Properties
SG = Cmmm (65)
energy above the lowest structure with this stoichiometry = 0.471 eV per atom
ΔE_f = 0.931 eV per atom
electronic total energy = -6.872 eV per atom
magnetization = 0.00 μB/cell

Cell: 2.9051 2.9051 9.4846 Å, 90.00 90.00 109.26°
Positions (direct):
Mg1 0.5000 0.5000 0.2500
Pb1 0.5000 0.5000 0.7500
W1 0.0000 0.0000 0.0041
W2 0.0000 0.0000 0.4959



Record 2
Crystalline MgPbW2 at its relaxed geometry, computed with PBE.

Properties
SG = P2/m (10)
energy above the lowest structure with this stoichiometry = 0.257 eV per atom
ΔE_f = 0.716 eV per atom
electronic total energy = -7.086 eV per atom
magnetization = 0.00 μB/cell

Cell: 4.8175 2.9166 5.4433 Å, 84.12 90.00 90.00°
Positions (direct):
Mg1 0.5000 0.2500 0.2500
Pb1 0.5000 0.7500 0.7500
W1 0.0000 0.9302 0.0292
W2 0.0000 0.5698 0.4708



Record 3
Crystalline MgPbW2 at its relaxed geometry, computed with PBE.

Properties
SG = Immm (71)
energy above the lowest structure with this stoichiometry = 0.304 eV per atom
ΔE_f = 0.764 eV per atom
electronic total energy = -7.039 eV per atom
magnetization = 0.00 μB/cell

Cell: 5.5243 5.5243 5.5243 Å, 144.35 130.93 62.11°
Positions (direct):
Mg1 0.2500 0.7500 0.5000
Pb1 0.7500 0.2500 0.5000
W1 0.9986 0.9986 0.0000
W2 0.5014 0.5014 0.0000



Record 4
Crystalline MgPbW2 at its relaxed geometry, computed with PBE.

Properties
SG = Pmmm (47)
energy above the lowest structure with this stoichiometry = 0.320 eV per atom
ΔE_f = 0.779 eV per atom
electronic total energy = -7.023 eV per atom
magnetization = 0.00 μB/cell

Cell: 3.4380 4.5154 4.7242 Å, 90.00 90.00 90.00°
Positions (direct):
Mg1 0.5000 0.0000 0.5000
Pb1 0.0000 0.5000 0.5000
W1 0.0000 0.0000 0.0000
W2 0.5000 0.5000 0.0000



Record 5
Crystalline MgPbW2 at its relaxed geometry, computed with PBE.

Properties
SG = R-3m (166)
energy above the lowest structure with this stoichiometry = 0.503 eV per atom
ΔE_f = 0.962 eV per atom
electronic total energy = -6.840 eV per atom
magnetization = 0.00 μB/cell

Cell: 9.9802 9.9802 9.9802 Å, 17.23 17.23 17.23°
Positions (direct):
Mg1 0.2500 0.2500 0.2500
Pb1 0.7500 0.7500 0.7500
W1 0.9986 0.9986 0.9986
W2 0.5014 0.5014 0.5014



Record 6
Crystalline MgPb3W at its relaxed geometry, computed with PBE.

Properties
SG = Pm-3m (221)
energy above the lowest structure with this stoichiometry = 0.823 eV per atom
ΔE_f = 1.462 eV per atom
electronic total energy = -3.673 eV per atom
magnetization = 4.09 μB/cell

Cell: 5.3948 5.3948 5.3948 Å, 90.00 90.00 90.00°
Each line ends with the local moment (μB).
Positions (direct):
Pb1 0.0000 0.5000 0.0000  -0.04
Pb2 0.0000 0.0000 0.5000  -0.02
Pb3 0.5000 0.0000 0.0000  -0.02
Mg1 0.0000 0.0000 0.0000  0.01
W1 0.5000 0.5000 0.5000  3.11



Record 7
Crystalline MgPbW2 at its relaxed geometry, computed with PBE.

Properties
SG = I-42d (122)
energy above the lowest structure with this stoichiometry = 1.030 eV per atom
ΔE_f = 1.489 eV per atom
electronic total energy = -6.313 eV per atom
magnetization = 0.00 μB/cell

Cell: 7.6041 7.6041 6.0526 Å, 51.08 51.08 90.00°
Positions (direct):
Pb1 0.0000 0.0000 0.0000
Pb2 0.7500 0.2500 0.5000
Mg1 0.5000 0.5000 0.0000
Mg2 0.2500 0.7500 0.5000
W1 0.6186 0.1250 0.2500
W2 0.1314 0.6250 0.2500
W3 0.3750 0.3814 0.7500
W4 0.8750 0.8686 0.7500



Record 8
Crystalline MgPbW2 at its relaxed geometry, computed with PBE.

Properties
SG = F-43m (216)
energy above the lowest structure with this stoichiometry = 0.271 eV per atom
ΔE_f = 0.731 eV per atom
electronic total energy = -7.072 eV per atom
magnetization = 0.00 μB/cell

Cell: 4.6793 4.6793 4.6793 Å, 60.00 60.00 60.00°
Positions (direct):
Mg1 0.5000 0.5000 0.5000
Pb1 0.7500 0.7500 0.7500
W1 0.0000 0.0000 0.0000
W2 0.2500 0.2500 0.2500



Record 9
Crystalline MgPb3W at its relaxed geometry, computed with PBE.

Properties
SG = Pm-3m (221)
energy above the lowest structure with this stoichiometry = 0.000 eV per atom
ΔE_f = 0.639 eV per atom
electronic total energy = -4.496 eV per atom
magnetization = 0.00 μB/cell

Cell: 5.4473 5.4473 5.4473 Å, 90.00 90.00 90.00°
Positions (direct):
Pb1 0.0000 0.5000 0.0000
Pb2 0.0000 0.0000 0.5000
Pb3 0.5000 0.0000 0.0000
Mg1 0.5000 0.5000 0.5000
W1 0.0000 0.0000 0.0000



Record 10
Crystalline MgPbW2 at its relaxed geometry, computed with PBE.

Properties
SG = P4/mmm (123)
energy above the lowest structure with this stoichiometry = 0.557 eV per atom
ΔE_f = 1.016 eV per atom
electronic total energy = -6.786 eV per atom
magnetization = 0.00 μB/cell

Cell: 2.8539 2.8539 9.4203 Å, 90.00 90.00 90.00°
Positions (direct):
Mg1 0.5000 0.5000 0.2500
Pb1 0.5000 0.5000 0.7500
W1 0.0000 0.0000 0.0129
W2 0.0000 0.0000 0.4871



Record 11
Crystalline MgPbW2 at its relaxed geometry, computed with PBE.

Properties
SG = Cm (8)
energy above the lowest structure with this stoichiometry = 0.327 eV per atom
ΔE_f = 0.786 eV per atom
electronic total energy = -7.016 eV per atom
magnetization = 0.00 μB/cell

Cell: 4.9035 4.9035 5.6651 Å, 84.16 84.16 34.59°
Positions (direct):
Mg1 0.5019 0.5019 0.4843
Pb1 0.7498 0.7498 0.7458
W1 0.0028 0.0028 0.0366
W2 0.2456 0.2456 0.2333



Record 12
Crystalline MgPbW4 at its relaxed geometry, computed with PBE.

Properties
SG = F-43m (216)
ΔE_f = 0.688 eV per atom
electronic total energy = -8.831 eV per atom
magnetization = 0.00 μB/cell

Cell: 5.4358 5.4358 5.4358 Å, 60.00 60.00 60.00°
Positions (direct):
Mg1 0.7500 0.7500 0.7500
Pb1 0.0000 0.0000 0.0000
W1 0.8713 0.3762 0.3762
W2 0.3762 0.3762 0.8713
W3 0.3762 0.8713 0.3762
W4 0.3762 0.3762 0.3762